[1]
A plane-wave DFT calculation with PBE was carried out for YBr2O after structural relaxation.

Cell: 4.0770 4.0770 25.8092 Å, 90.00 90.00 120.00°
Closest atoms and distances in Å follow each position.
Space group R-3m (No. 166, hexagonal axes)
Symmetry-distinct sites (fractional):
Y (0.0000, 0.0000, 0.0000) (multiplicity 3)  2 Br 2.62
Br (0.0000, 0.0000, 0.1014) (multiplicity 6)  1 Y 2.62, 3 O 2.89
O (0.0000, 0.0000, 0.5000) (multiplicity 3)  6 Br 2.89

Calculated values
Formation energy from raw total energies (eV/atom): 0.09
Excess energy over the best structure of this formula in the dataset (eV per formula unit): 4.16
Crystal system: trigonal
M_tot (μB per formula unit): 2.279


[2]
A plane-wave DFT calculation with PBE was carried out for Y2BrO2 after structural relaxation.

Cell: 7.2121 7.2121 3.1495 Å, 90.00 90.00 90.00°
Closest atoms and distances in Å follow each position.
Space group P4/mbm (No. 127)
Symmetry-distinct sites (fractional):
Y (0.1462, 0.3538, 0.0000) (multiplicity 4)  6 O 2.53-2.79, 2 Br 2.76
Br (0.0000, 0.0000, 0.0000) (multiplicity 2)  4 Y 2.76
O (0.1276, 0.6276, 0.5000) (multiplicity 4)  6 Y 2.53-2.79, 1 O 2.60

Calculated values
Formation energy from raw total energies (eV/atom): -2.19
Excess energy over the best structure of this formula in the dataset (eV per formula unit): 3.15
Crystal system: tetragonal
M_tot (μB per formula unit): 0.000


[3]
A plane-wave DFT calculation with PBE was carried out for YBrO2 after structural relaxation.

Cell: 3.6282 3.6282 18.2905 Å, 90.00 90.00 120.00°
Closest atoms and distances in Å follow each position.
Space group R-3m (No. 166, hexagonal axes)
Symmetry-distinct sites (fractional):
Y (0.0000, 0.0000, 0.0000) (multiplicity 3)  6 O 2.31
Br (0.0000, 0.0000, 0.5000) (multiplicity 3)  2 O 2.08
O (0.0000, 0.0000, 0.3861) (multiplicity 6)  1 Br 2.08, 3 Y 2.31

Calculated values
Formation energy from raw total energies (eV/atom): -2.11
Excess energy over the best structure of this formula in the dataset (eV per formula unit): 0.00
Crystal system: trigonal
M_tot (μB per formula unit): 0.000


[4]
A plane-wave DFT calculation with PBE was carried out for Y2BrO after structural relaxation.

Cell: 6.0146 6.0146 11.2739 Å, 90.00 90.00 90.00°
Closest atoms and distances in Å follow each position.
Space group I-42d (No. 122)
Symmetry-distinct sites (fractional):
Y (0.1610, 0.2500, 0.1250) (multiplicity 8)  2 O 2.28
Br (0.0000, 0.0000, 0.5000) (multiplicity 4)  4 Y 2.90
O (0.0000, 0.0000, 0.0000) (multiplicity 4)  4 Y 2.28

Calculated values
Formation energy from raw total energies (eV/atom): -1.71
Excess energy over the best structure of this formula in the dataset (eV per formula unit): 0.26
Crystal system: tetragonal
M_tot (μB per formula unit): 0.000


[5]
A plane-wave DFT calculation with PBE was carried out for Y2BrO after structural relaxation.

Cell: 3.6041 3.6041 21.5912 Å, 90.00 90.00 120.00°
Closest atoms and distances in Å follow each position.
Space group R-3m (No. 166, hexagonal axes)
Symmetry-distinct sites (fractional):
Y (0.0000, 0.0000, 0.2249) (multiplicity 6)  3 O 2.43
Br (0.0000, 0.0000, 0.0000) (multiplicity 3)  6 Y 3.13
O (0.0000, 0.0000, 0.5000) (multiplicity 3)  6 Y 2.43

Calculated values
Formation energy from raw total energies (eV/atom): -1.78
Excess energy over the best structure of this formula in the dataset (eV per formula unit): 0.00
Crystal system: trigonal
M_tot (μB per formula unit): 0.286


[6]
A plane-wave DFT calculation with PBE was carried out for Y2BrO2 after structural relaxation.

Cell: 4.0637 4.0637 11.5227 Å, 90.00 90.00 90.00°
Closest atoms and distances in Å follow each position.
Space group I4/mmm (No. 139)
Symmetry-distinct sites (fractional):
Y (0.0000, 0.0000, 0.1618) (multiplicity 4)  4 O 2.27
Br (0.0000, 0.0000, 0.5000) (multiplicity 2)  8 Y 3.43, 8 O 3.53
O (0.0000, 0.5000, 0.2500) (multiplicity 4)  4 Y 2.27

Calculated values
Formation energy from raw total energies (eV/atom): -2.82
Excess energy over the best structure of this formula in the dataset (eV per formula unit): 0.00
Crystal system: tetragonal
M_tot (μB per formula unit): 0.978


[7]
A plane-wave DFT calculation with PBE was carried out for Y2ZrBrO after structural relaxation.

Cell: 5.5915 5.5915 4.1038 Å, 90.00 90.00 90.00°
Closest atoms and distances in Å follow each position.
Space group P4/mmm (No. 123)
Symmetry-distinct sites (fractional):
Y (0.0000, 0.5000, 0.0000) (multiplicity 2)  2 Br 2.80
Zr (0.0000, 0.0000, 0.5000) (multiplicity 1)  8 Y 3.47
Br (0.5000, 0.5000, 0.0000) (multiplicity 1)  2 O 2.05
O (0.5000, 0.5000, 0.5000) (multiplicity 1)  2 Br 2.05

Calculated values
Formation energy from raw total energies (eV/atom): 0.18
Crystal system: tetragonal
M_tot (μB per formula unit): 0.791


[8]
A plane-wave DFT calculation with PBE was carried out for YbBrO after structural relaxation.

Cell: 3.8238 3.8238 9.0775 Å, 90.00 90.00 90.00°
Closest atoms and distances in Å follow each position.
Space group P4/nmm (No. 129, origin choice 2)
Symmetry-distinct sites (fractional):
Yb (0.2500, 0.2500, 0.1315) (multiplicity 2)  4 O 2.25
Br (0.2500, 0.2500, 0.6872) (multiplicity 2)  4 Yb 3.17, 4 O 3.42
O (0.2500, 0.7500, 0.0000) (multiplicity 2)  4 Yb 2.25

Calculated values
Formation energy from raw total energies (eV/atom): -2.26
Crystal system: tetragonal
M_tot (μB per formula unit): 1.045


[9]
A plane-wave DFT calculation with PBE was carried out for ZnBrO after structural relaxation.

Cell: 3.4900 5.4889 7.4159 Å, 99.24 98.93 90.53°
Closest atoms and distances in Å follow each position.
Space group P1 (No. 1)
Symmetry-distinct sites (fractional):
Zn (0.0000, 0.0000, 0.0000) (multiplicity 1)  3 O 1.91-2.02
Zn (0.4823, 0.5044, 0.9682) (multiplicity 1)  3 O 1.92-2.02
Br (0.1725, 0.3442, 0.3416) (multiplicity 1)  1 O 2.18
Br (0.4038, 0.2194, 0.6560) (multiplicity 1)  1 Br 2.55, 1 Zn 2.55
O (0.0080, 0.3738, 0.0508) (multiplicity 1)  3 Zn 2.02, 1 Br 2.18
O (0.4923, 0.8561, 0.9833) (multiplicity 1)  3 Zn 1.91-1.92

Calculated values
Formation energy from raw total energies (eV/atom): -0.78
Crystal system: triclinic
M_tot (μB per formula unit): 0.000


[10]
A plane-wave DFT calculation with PBE was carried out for ZnBrO2 after structural relaxation.

Cell: 5.8503 5.8503 5.8503 Å, 90.00 90.00 90.00°
Closest atoms and distances in Å follow each position.
Space group Fm-3m (No. 225)
Symmetry-distinct sites (fractional):
Zn (0.0000, 0.0000, 0.0000) (multiplicity 4)  8 O 2.53
Br (0.0000, 0.0000, 0.5000) (multiplicity 4)  8 O 2.53
O (0.2500, 0.2500, 0.2500) (multiplicity 8)  4 Br 2.53, 4 Zn 2.53

Calculated values
Formation energy from raw total energies (eV/atom): 0.64
Excess energy over the best structure of this formula in the dataset (eV per formula unit): 4.76
Crystal system: cubic
M_tot (μB per formula unit): 1.591


[11]
A plane-wave DFT calculation with PBE was carried out for ZnBrO after structural relaxation.

Cell: 4.0324 4.0324 6.6176 Å, 90.00 90.00 90.00°
Closest atoms and distances in Å follow each position.
Space group P4/nmm (No. 129, origin choice 2)
Symmetry-distinct sites (fractional):
Zn (0.2500, 0.2500, 0.0509) (multiplicity 2)  4 O 2.04
Br (0.2500, 0.2500, 0.4936) (multiplicity 2)  4 Br 2.85, 1 Zn 2.93
O (0.2500, 0.7500, 0.0000) (multiplicity 2)  4 Zn 2.04

Calculated values
Formation energy from raw total energies (eV/atom): -0.68
Crystal system: tetragonal
M_tot (μB per formula unit): 0.000


[12]
A plane-wave DFT calculation with PBE was carried out for ZnBrO2 after structural relaxation.

Cell: 3.1262 3.1262 20.7708 Å, 90.00 90.00 120.00°
Closest atoms and distances in Å follow each position.
Space group R-3m (No. 166, hexagonal axes)
Symmetry-distinct sites (fractional):
Zn (0.0000, 0.0000, 0.0000) (multiplicity 3)  2 O 1.79
Br (0.0000, 0.0000, 0.5000) (multiplicity 3)  6 O 2.46
O (0.0000, 0.0000, 0.0861) (multiplicity 6)  1 Zn 1.79

Calculated values
Formation energy from raw total energies (eV/atom): 0.42
Excess energy over the best structure of this formula in the dataset (eV per formula unit): 3.88
Crystal system: trigonal
M_tot (μB per formula unit): 0.000


[13]
A plane-wave DFT calculation with PBE was carried out for Zn3BrO after structural relaxation.

Cell: 5.2014 5.2014 5.2014 Å, 90.00 90.00 90.00°
Closest atoms and distances in Å follow each position.
Space group Pm-3m (No. 221)
Symmetry-distinct sites (fractional):
Zn (0.0000, 0.0000, 0.5000) (multiplicity 3)  2 Br 2.60
Br (0.0000, 0.0000, 0.0000) (multiplicity 1)  6 Zn 2.60
O (0.5000, 0.5000, 0.5000) (multiplicity 1)  12 Zn 3.68

Calculated values
Formation energy from raw total energies (eV/atom): 1.00
Excess energy over the best structure of this formula in the dataset (eV per formula unit): 5.37
Crystal system: cubic
M_tot (μB per formula unit): 0.000


[14]
A plane-wave DFT calculation with PBE was carried out for ZnBr2O after structural relaxation.

Cell: 3.9130 3.9130 20.8809 Å, 90.00 90.00 120.00°
Closest atoms and distances in Å follow each position.
Space group R-3m (No. 166, hexagonal axes)
Symmetry-distinct sites (fractional):
Zn (0.0000, 0.0000, 0.0000) (multiplicity 3)  6 Br 2.68
Br (0.0000, 0.0000, 0.4025) (multiplicity 6)  1 O 2.04
O (0.0000, 0.0000, 0.5000) (multiplicity 3)  2 Br 2.04

Calculated values
Formation energy from raw total energies (eV/atom): 0.05
Excess energy over the best structure of this formula in the dataset (eV per formula unit): 0.00
Crystal system: trigonal
M_tot (μB per formula unit): 0.000


[15]
A plane-wave DFT calculation with PBE was carried out for ZnBrO after structural relaxation.

Cell: 13.5989 3.4693 6.2992 Å, 90.00 111.87 90.00°
Closest atoms and distances in Å follow each position.
Space group C2/m (No. 12)
Symmetry-distinct sites (fractional):
Zn (0.0216, 0.0000, 0.2725) (multiplicity 4)  2 O 2.02
Br (0.1482, 0.0000, 0.6657) (multiplicity 4)  2 Zn 2.43-2.48
O (0.0374, 0.5000, 0.1242) (multiplicity 4)  1 O 1.52

Calculated values
Formation energy from raw total energies (eV/atom): -0.68
Crystal system: monoclinic
M_tot (μB per formula unit): 0.000


[16]
A plane-wave DFT calculation with PBE was carried out for ZnBr2O5 after structural relaxation.

Cell: 8.4854 9.6909 6.1434 Å, 90.00 90.00 90.00°
Closest atoms and distances in Å follow each position.
Space group Pbcn (No. 60)
Symmetry-distinct sites (fractional):
Zn (0.0000, 0.0717, 0.2500) (multiplicity 4)  6 O 2.10-2.17
Br (0.1800, 0.3710, 0.0641) (multiplicity 8)  2 O 1.71-1.80
O (0.0000, 0.4266, 0.2500) (multiplicity 4)  2 Br 1.98
O (0.1144, 0.0823, 0.5521) (multiplicity 8)  1 Br 1.80
O (0.1918, 0.1996, 0.1309) (multiplicity 8)  1 Br 1.71

Calculated values
Formation energy from raw total energies (eV/atom): -0.03
Crystal system: orthorhombic
M_tot (μB per formula unit): 0.000


[17]
A plane-wave DFT calculation with PBE was carried out for ZnBr2O after structural relaxation.

Cell: 6.7539 6.7539 9.4637 Å, 90.00 90.00 90.00°
Closest atoms and distances in Å follow each position.
Space group I-42d (No. 122)
Symmetry-distinct sites (fractional):
Zn (0.0000, 0.0000, 0.0000) (multiplicity 4)  4 Br 2.46
Br (0.1977, 0.7500, 0.1250) (multiplicity 8)  2 Zn 2.46
O (0.0000, 0.0000, 0.5000) (multiplicity 4)  4 Br 2.90

Calculated values
Formation energy from raw total energies (eV/atom): 0.05
Excess energy over the best structure of this formula in the dataset (eV per formula unit): 0.01
Crystal system: tetragonal
M_tot (μB per formula unit): 2.000


[18]
A plane-wave DFT calculation with PBE was carried out for ZnBrO after structural relaxation.

Cell: 6.0495 3.4415 9.7251 Å, 90.00 96.96 90.00°
Closest atoms and distances in Å follow each position.
Space group Cm (No. 8)
Symmetry-distinct sites (fractional):
Zn (0.0000, 0.0000, 0.0000) (multiplicity 2)  3 O 2.10-2.11
Zn (0.2297, 0.5000, 0.2738) (multiplicity 2)  4 O 1.99-2.07
Br (0.3151, 0.0000, 0.7976) (multiplicity 2)  1 Br 2.58, 2 Zn 2.75
Br (0.3826, 0.0000, 0.5404) (multiplicity 2)  1 O 2.12
O (0.1832, 0.5000, 0.0673) (multiplicity 2)  4 Zn 1.99-2.11
O (0.4102, 0.0000, 0.3255) (multiplicity 2)  3 Zn 2.06-2.07, 1 Br 2.12

Calculated values
Formation energy from raw total energies (eV/atom): -0.74
Crystal system: monoclinic
M_tot (μB per formula unit): 0.000


[19]
A plane-wave DFT calculation with PBE was carried out for ZnBrO after structural relaxation.

Cell: 3.1473 3.1479 6.8602 Å, 89.23 89.30 65.99°
Closest atoms and distances in Å follow each position.
Space group P1 (No. 1)
Symmetry-distinct sites (fractional):
Zn (0.0000, 0.0000, 0.0000) (multiplicity 1)  3 O 1.87-1.89
Br (0.0239, 0.0318, 0.5162) (multiplicity 1)  6 Br 3.15-3.43, 1 Zn 3.32
O (0.6414, 0.6413, 0.0061) (multiplicity 1)  3 Zn 1.87-1.89

Calculated values
Formation energy from raw total energies (eV/atom): -0.67
Crystal system: triclinic
M_tot (μB per formula unit): 0.000


[20]
A plane-wave DFT calculation with PBE was carried out for ZnBr2O6 after structural relaxation.

Cell: 9.0086 9.1902 7.0958 Å, 90.00 103.95 90.00°
Closest atoms and distances in Å follow each position.
Space group C2/c (No. 15)
Symmetry-distinct sites (fractional):
Zn (0.0000, 0.0770, 0.2500) (multiplicity 4)  4 O 2.05-2.10
Br (0.1972, 0.3874, 0.2595) (multiplicity 8)  3 O 1.65-1.75
O (0.1097, 0.0871, 0.6278) (multiplicity 8)  1 Br 1.75
O (0.1104, 0.4171, 0.4359) (multiplicity 8)  1 Br 1.65
O (0.1780, 0.2037, 0.2148) (multiplicity 8)  1 Br 1.72

Calculated values
Formation energy from raw total energies (eV/atom): -0.09
Excess energy over the best structure of this formula in the dataset (eV per formula unit): 0.08
Crystal system: monoclinic
M_tot (μB per formula unit): 0.000